Entry from Alexandria via LeMat-Bulk: a relaxed structure of CaPIrCl2 (PBE-GGA).

The total energy comes out at -3.44 eV/atom. The density of states at the Fermi level comes out at 4.00 states/eV per cell. The energy relative to the elements, uncorrected is 0.553 eV per atom. The energy above the most stable polymorph in this dataset comes out at 1021 meV/atom.

The structure in CIF format:
```
data_CaPIrCl2
_cell_length_a 4.9086
_cell_length_b 4.9086
_cell_length_c 6.5103
_cell_angle_alpha 90.00
_cell_angle_beta 90.00
_cell_angle_gamma 90.00
_space_group_name_H-M_alt 'P 4/m m m'
_space_group_IT_number 123
_space_group_name_Hall '-P 4 2'
loop_
_atom_site_label
_atom_site_type_symbol
_atom_site_fract_x
_atom_site_fract_y
_atom_site_fract_z
Ca1 Ca 0.0000 0.0000 0.0000
P1 P 0.0000 0.0000 0.5000
Ir1 Ir 0.5000 0.5000 0.5000
Cl1 Cl 0.0000 0.5000 0.0000
```

Entry from Alexandria via LeMat-Bulk: a relaxed structure of Mn2CdC (PBE-GGA).

The total energy comes out at -5.76 eV/atom. The density of states at the Fermi level comes out at 12.46 states/eV per cell. As for the formation energy: 1.357 eV per atom.

The structure in CIF format:
```
data_Mn2CdC
_cell_length_a 6.0730
_cell_length_b 6.0730
_cell_length_c 6.0730
_cell_angle_alpha 90.00
_cell_angle_beta 90.00
_cell_angle_gamma 90.00
_space_group_name_H-M_alt 'F m -3 m'
_space_group_IT_number 225
_space_group_name_Hall '-F 4 2 3'
loop_
_atom_site_label
_atom_site_type_symbol
_atom_site_fract_x
_atom_site_fract_y
_atom_site_fract_z
Mn1 Mn 0.2500 0.2500 0.2500
Cd1 Cd 0.0000 0.0000 0.0000
C1 C 0.0000 0.0000 0.5000
```